Record 1
The following is a DFT calculation (GGA-PBE) of an optimized crystal structure of RbCaHg2Rh.

Cell: 5.491 5.491 5.183 Å, 90.00 90.00 90.00°
Atoms (fractional coordinates):
Rb: 0.000 0.000 0.000
Ca: 0.500 0.500 0.000
Hg: 0.000 0.500 0.500
Hg: 0.500 0.000 0.500
Rh: 0.500 0.500 0.500

Calculated values
Magnetization: 0.0 μB/f.u.
ρ: 6.69 g/cm3
Symmetry: P4/mmm (123)
E_form: -1.07 eV/f.u.

Record 2
The following is a DFT calculation (GGA-PBE) of an optimized crystal structure of RbCaHg2Rh.

Cell: 6.031 6.031 5.058 Å, 90.00 90.00 90.00°
Atoms (fractional coordinates):
Rb: 0.000 0.000 0.000
Ca: 0.500 0.500 0.500
Hg: 0.000 0.500 0.500
Hg: 0.500 0.000 0.500
Rh: 0.500 0.500 0.000

Calculated values
Magnetization: 0.0 μB/f.u.
ρ: 5.68 g/cm3
Symmetry: P4/mmm (123)
E_form: 1.30 eV/f.u.